No. 1
A plane-wave DFT calculation with PBE was carried out for an optimized crystal structure of LiCuHg4.

Properties
For the total DFT energy (no corrections), the calculation gives -0.961 eV/atom.

Structure (extended XYZ):
```
6
Lattice="0.000 4.165 4.165 4.165 0.000 4.165 4.165 4.165 0.000" Properties=species:S:1:pos:R:3 pbc="T T T"
Li 0.000 0.000 0.000
Cu 6.248 6.248 6.248
Hg 3.124 3.124 3.124
Hg 5.206 5.206 3.124
Hg 5.206 3.124 5.206
Hg 3.124 5.206 5.206
```

No. 2
A plane-wave DFT calculation with PBE was carried out for an optimized crystal structure of NaNdBi2.

Properties
For the total DFT energy (no corrections), the calculation gives -4.034 eV/atom. The energy above the most stable polymorph in this dataset is 0 meV per atom.

Structure (extended XYZ):
```
8
Lattice="4.570 0.000 0.000 0.000 4.570 0.000 0.000 0.000 11.908" Properties=species:S:1:pos:R:3 pbc="T T T"
Na 1.143 3.428 0.000
Na 3.428 1.143 0.000
Nd 1.143 1.143 3.367
Nd 3.428 3.428 8.540
Bi 1.143 1.143 9.554
Bi 1.143 3.428 5.954
Bi 3.428 1.143 5.954
Bi 3.428 3.428 2.353
```

No. 3
A plane-wave DFT calculation with PBE was carried out for an optimized crystal structure of Fe2SiCl.

Properties
The raw formation energy comes out at 0.44 eV per atom. For the total DFT energy (no corrections), the calculation gives -5.611 eV/atom. The energy above the most stable polymorph in this dataset is 521 meV per atom.

Structure (extended XYZ):
```
8
Lattice="-2.992 2.992 3.796 2.992 -2.992 3.796 2.992 2.992 -3.796" Properties=species:S:1:pos:R:3 pbc="T T T"
Fe 4.488 1.481 -0.949
Fe 1.481 1.496 0.949
Fe -1.496 1.511 2.847
Fe 1.511 1.496 4.745
Si 0.000 0.000 0.000
Si 0.000 2.992 1.898
Cl 2.992 0.000 1.898
Cl 0.000 0.000 3.796
```

No. 4
A plane-wave DFT calculation with PBE was carried out for an optimized crystal structure of NdDySi.

Properties
The raw formation energy comes out at -0.28 eV per atom. For the total DFT energy (no corrections), the calculation gives -5.212 eV/atom. The energy above the most stable polymorph in this dataset is 222 meV per atom.

Structure (extended XYZ):
```
6
Lattice="-2.881 2.881 5.592 2.881 -2.881 5.592 2.881 2.881 -5.592" Properties=species:S:1:pos:R:3 pbc="T T T"
Nd 0.000 0.000 0.000
Nd 0.000 2.881 2.796
Dy 2.881 0.000 2.954
Dy 0.000 0.000 5.750
Si 2.881 0.000 0.139
Si 0.000 0.000 2.935
```

No. 5
A plane-wave DFT calculation with PBE was carried out for an optimized crystal structure of NaRhAuSe3.

Properties
The raw formation energy comes out at -0.43 eV per atom. For the total DFT energy (no corrections), the calculation gives -4.164 eV/atom.

Structure (extended XYZ):
```
12
Lattice="7.599 0.000 0.000 0.000 3.805 0.000 -0.483 0.000 9.492" Properties=species:S:1:pos:R:3 pbc="T T T"
Na 0.925 0.951 2.144
Na 6.191 2.854 7.348
Rh 2.198 2.854 8.279
Rh 4.918 0.951 1.213
Au 0.590 0.951 5.213
Au 6.527 2.854 4.279
Se 0.600 0.951 8.590
Se 2.136 2.854 5.829
Se 3.230 2.854 1.257
Se 3.887 0.951 8.235
Se 4.980 0.951 3.663
Se 6.516 2.854 0.902
```

No. 6
A plane-wave DFT calculation with PBE was carried out for an optimized crystal structure of LaScV2As.

Properties
For the total DFT energy (no corrections), the calculation gives -6.561 eV/atom.

Structure (extended XYZ):
```
5
Lattice="4.698 0.000 0.000 0.000 4.698 0.000 0.000 0.000 5.094" Properties=species:S:1:pos:R:3 pbc="T T T"
La 0.000 0.000 0.000
Sc 2.349 2.349 0.000
V 0.000 2.349 2.547
V 2.349 0.000 2.547
As 2.349 2.349 2.547
```

The calculation returns the following magnetic moment values, one per record and in order: 0.00; 0.00; 10.00; 0.00; 0.00; 0.00 μB/cell.